Sm3Zn2Si4Ni2 after structural relaxation, computed with GGA-PBE.

Cell: 12.252 12.252 12.252 Å, 160.79 160.78 27.30°
Element x y z (fractional)
1 Sm 0.347 0.847 0.500
2 Si 0.202 0.702 0.500
3 Si 0.451 0.451 0.000
4 Zn 0.900 0.400 0.500
5 Si 0.798 0.298 0.500
6 Sm 0.000 0.000 0.000
7 Si 0.549 0.549 0.000
8 Zn 0.100 0.600 0.500
9 Ni 0.750 0.750 0.000
10 Sm 0.653 0.153 0.500
11 Ni 0.250 0.250 0.000

Computed properties:
- Calculated total energy: -5.21 eV per atom
- Crystal system: orthorhombic

---

Si3NiSn after structural relaxation, computed with GGA-PBE.

Cell: 6.061 5.609 5.609 Å, 60.01 90.00 90.00°
Element x y z (fractional)
1 Si 0.750 0.523 0.955
2 Sn 0.000 0.000 0.000
3 Ni 0.000 0.333 0.333
4 Si 0.250 0.523 0.522
5 Si 0.250 0.955 0.523
6 Sn 0.500 0.000 0.000
7 Si 0.750 0.522 0.523
8 Si 0.750 0.955 0.522
9 Si 0.250 0.522 0.955
10 Ni 0.500 0.333 0.333

Computed properties:
- Calculated total energy: -5.07 eV per atom
- Crystal system: hexagonal

---

Sr2SiNi4Sn after structural relaxation, computed with GGA-PBE.

Cell: 4.208 4.208 10.404 Å, 90.00 90.00 120.00°
Element x y z (fractional)
1 Ni 0.667 0.333 0.038
2 Sn 0.000 0.000 0.000
3 Sr 0.333 0.667 0.255
4 Ni 0.333 0.667 0.962
5 Ni 0.667 0.333 0.468
6 Si 0.000 0.000 0.500
7 Sr 0.667 0.333 0.745
8 Ni 0.333 0.667 0.532

Computed properties:
- Calculated total energy: -4.75 eV per atom
- Crystal system: trigonal

---

Tm2SiNi4Sn after structural relaxation, computed with GGA-PBE.

Cell: 4.173 4.173 8.652 Å, 90.00 90.00 120.00°
Element x y z (fractional)
1 Si 0.000 0.000 0.500
2 Tm 0.667 0.333 0.743
3 Tm 0.333 0.667 0.257
4 Sn 0.000 0.000 0.000
5 Ni 0.667 0.333 0.430
6 Ni 0.667 0.333 0.087
7 Ni 0.333 0.667 0.570
8 Ni 0.333 0.667 0.913

Computed properties:
- Calculated total energy: -5.67 eV per atom
- Crystal system: trigonal

---

Zr2SiNi2Sn after structural relaxation, computed with GGA-PBE.

Cell: 9.119 3.956 12.140 Å, 90.00 109.15 90.00°
Element x y z (fractional)
1 Si 0.946 0.500 0.344
2 Ni 0.402 0.500 0.775
3 Si 0.057 0.000 0.088
4 Sn 0.295 0.500 0.027
5 Zr 0.619 0.500 0.266
6 Sn 0.346 0.000 0.246
7 Zr 0.173 0.000 0.407
8 Zr 0.810 0.000 0.169
9 Ni 0.084 0.500 0.195
10 Si 0.008 0.500 0.809
11 Ni 0.370 0.000 0.642
12 Zr 0.106 0.500 0.597
13 Ni 0.598 0.500 0.022
14 Zr 0.226 0.000 0.826
15 Ni 0.863 0.000 0.408
16 Si 0.377 0.500 0.547
17 Zr 0.859 0.500 0.982
18 Ni 0.912 0.000 0.861
19 Sn 0.588 0.000 0.878
20 Sn 0.885 0.000 0.635
21 Zr 0.560 0.000 0.481
22 Ni 0.487 0.000 0.092
23 Zr 0.668 0.500 0.705
24 Ni 0.761 0.500 0.497

Computed properties:
- Calculated total energy: -6.74 eV per atom
- Crystal system: monoclinic

---

Zr3Si2Ni4Sn2 after structural relaxation, computed with GGA-PBE.

Cell: 7.710 7.710 7.710 Å, 150.03 128.38 60.85°
Element x y z (fractional)
1 Zr 0.500 0.000 0.500
2 Ni 0.114 0.312 0.802
3 Si 0.288 0.788 0.500
4 Ni 0.490 0.688 0.802
5 Si 0.712 0.212 0.500
6 Ni 0.510 0.312 0.198
7 Sn 0.207 0.500 0.707
8 Sn 0.793 0.500 0.293
9 Ni 0.886 0.688 0.198
10 Zr 0.864 0.864 0.000
11 Zr 0.136 0.136 0.000

Computed properties:
- Calculated total energy: -6.71 eV per atom
- Crystal system: orthorhombic

---

SrTmSi4Ni2 after structural relaxation, computed with GGA-PBE.

Cell: 3.968 8.669 8.669 Å, 27.14 90.00 90.00°
Element x y z (fractional)
1 Sr 0.000 0.606 0.606
2 Tm 0.500 0.390 0.390
3 Si 0.000 0.956 0.956
4 Si 0.500 0.753 0.753
5 Si 0.000 0.253 0.253
6 Ni 0.000 0.824 0.824
7 Ni 0.500 0.181 0.181
8 Si 0.500 0.036 0.036

Computed properties:
- Calculated total energy: -5.52 eV per atom
- Crystal system: orthorhombic

---

SrTmSi2Ni4 after structural relaxation, computed with GGA-PBE.

Cell: 3.988 3.988 9.764 Å, 90.00 90.00 120.00°
Element x y z (fractional)
1 Ni 0.000 0.000 0.683
2 Tm 0.667 0.333 0.500
3 Ni 0.667 0.333 0.776
4 Sr 0.000 0.000 0.000
5 Ni 0.000 0.000 0.317
6 Si 0.333 0.667 0.732
7 Si 0.333 0.667 0.268
8 Ni 0.667 0.333 0.224

Computed properties:
- Calculated total energy: -5.51 eV per atom
- Crystal system: hexagonal

---

SrYSi4Ni2 after structural relaxation, computed with GGA-PBE.

Cell: 3.991 8.652 8.652 Å, 27.47 90.00 90.00°
Element x y z (fractional)
1 Si 0.000 0.747 0.747
2 Si 0.500 0.963 0.963
3 Y 0.500 0.609 0.609
4 Sr 0.000 0.394 0.394
5 Ni 0.000 0.177 0.177
6 Si 0.500 0.247 0.247
7 Si 0.000 0.044 0.044
8 Ni 0.500 0.819 0.819

Computed properties:
- Calculated total energy: -5.79 eV per atom
- Crystal system: orthorhombic

---

Ta2Si2Ni after structural relaxation, computed with GGA-PBE.

Cell: 6.219 6.219 6.219 Å, 142.96 142.96 53.38°
Site moments in Bohr magnetons follow the coordinates.
Element x y z (fractional)
1 Ta 0.250 0.750 0.500  0.09
2 Ni 0.000 0.000 0.000  0.52
3 Si 0.598 0.598 0.000  0.02
4 Si 0.402 0.402 0.000  0.02
5 Ta 0.750 0.250 0.500  0.09

Computed properties:
- Calculated total energy: -7.66 eV per atom
- Crystal system: tetragonal

---

Ta6Si7Ni16 after structural relaxation, computed with GGA-PBE.

Cell: 7.930 7.930 7.930 Å, 120.00 90.00 120.00°
Element x y z (fractional)
1 Ni 0.502 0.335 0.167
2 Si 0.000 0.500 0.500
3 Ni 0.167 0.335 0.833
4 Ni 0.150 0.767 0.383
5 Ni 0.383 0.767 0.617
6 Si 0.500 0.000 0.500
7 Ta 0.798 0.000 0.202
8 Si 0.000 0.500 0.000
9 Ni 0.167 0.665 0.833
10 Ta 0.202 0.000 0.202
11 Ta 0.202 0.000 0.798
12 Ni 0.833 0.665 0.167
13 Ni 0.833 0.335 0.167
14 Ni 0.383 0.233 0.617
15 Ni 0.617 0.233 0.850
16 Ni 0.383 0.767 0.150
17 Si 0.500 0.000 0.000
18 Ta 0.798 0.000 0.798
19 Ta 0.798 0.595 0.798
20 Ni 0.617 0.767 0.383
21 Ni 0.498 0.665 0.833
22 Si 0.500 0.500 0.000
23 Ni 0.833 0.665 0.498
24 Ni 0.167 0.335 0.502
25 Si 0.000 0.000 0.500
26 Ta 0.202 0.405 0.202
27 Si 0.500 0.500 0.500
28 Ni 0.850 0.233 0.617
29 Ni 0.617 0.233 0.383

Computed properties:
- Calculated total energy: -7.44 eV per atom
- Crystal system: cubic

---

TaSi2Ni after structural relaxation, computed with GGA-PBE.

Cell: 4.308 4.308 4.308 Å, 60.00 60.00 60.00°
Element x y z (fractional)
1 Ta 0.500 0.500 0.500
2 Ni 0.750 0.750 0.750
3 Si 0.250 0.250 0.250
4 Si 0.000 0.000 0.000

Computed properties:
- Calculated total energy: -6.91 eV per atom
- Crystal system: cubic

---

YTaSiNi after structural relaxation, computed with GGA-PBE.

Cell: 4.569 4.569 4.569 Å, 60.00 60.00 60.00°
Element x y z (fractional)
1 Y 0.500 0.500 0.500
2 Si 0.000 0.000 0.000
3 Ta 0.250 0.250 0.250
4 Ni 0.750 0.750 0.750

Computed properties:
- Calculated total energy: -7.05 eV per atom
- Crystal system: cubic

---

TbSiNi after structural relaxation, computed with GGA-PBE.

Cell: 6.806 6.806 3.787 Å, 90.00 90.00 120.00°
Element x y z (fractional)
1 Tb 0.418 0.418 0.500
2 Tb 0.582 0.000 0.500
3 Si 0.000 0.236 0.000
4 Si 0.236 0.000 0.000
5 Si 0.764 0.764 0.000
6 Ni 0.000 0.000 0.500
7 Ni 0.333 0.667 0.000
8 Ni 0.667 0.333 0.000
9 Tb 0.000 0.582 0.500

Computed properties:
- Calculated total energy: -5.92 eV per atom
- Crystal system: hexagonal

---

TbSi2Ni10 after structural relaxation, computed with GGA-PBE.

Cell: 8.160 8.160 4.665 Å, 90.00 90.00 90.00°
Element x y z (fractional)
1 Ni 0.000 0.500 0.000
2 Ni 0.103 0.750 0.761
3 Ni 0.250 0.474 0.729
4 Ni 0.974 0.750 0.271
5 Ni 0.250 0.026 0.729
6 Ni 0.897 0.250 0.239
7 Ni 0.250 0.897 0.239
8 Si 0.500 0.500 0.500
9 Ni 0.750 0.974 0.271
10 Ni 0.500 0.000 0.000
11 Ni 0.474 0.250 0.729
12 Ni 0.026 0.250 0.729
13 Ni 0.750 0.103 0.761
14 Si 0.500 0.000 0.500
15 Ni 0.397 0.750 0.761
16 Ni 0.526 0.750 0.271
17 Ni 0.750 0.526 0.271
18 Ni 0.603 0.250 0.239
19 Si 0.000 0.500 0.500
20 Si 0.000 0.000 0.500
21 Ni 0.000 0.000 0.000
22 Ni 0.750 0.397 0.761
23 Tb 0.250 0.250 0.222
24 Ni 0.500 0.500 0.000
25 Ni 0.250 0.603 0.239
26 Tb 0.750 0.750 0.778

Computed properties:
- Calculated total energy: -5.92 eV per atom
- Crystal system: tetragonal

---

Tb6SiNi2 after structural relaxation, computed with GGA-PBE.

Cell: 7.592 7.592 4.328 Å, 90.00 90.00 120.00°
Element x y z (fractional)
1 Ni 0.667 0.333 0.500
2 Si 0.000 0.000 0.000
3 Tb 0.726 0.726 0.500
4 Tb 0.606 0.000 0.000
5 Tb 0.274 0.000 0.500
6 Tb 0.000 0.606 0.000
7 Ni 0.333 0.667 0.500
8 Tb 0.394 0.394 0.000
9 Tb 0.000 0.274 0.500

Computed properties:
- Calculated total energy: -5.21 eV per atom
- Crystal system: hexagonal

---

Tb3Si4Ni after structural relaxation, computed with GGA-PBE.

Cell: 5.641 3.791 7.501 Å, 90.00 100.31 90.00°
Element x y z (fractional)
1 Si 0.041 0.000 0.975
2 Tb 0.872 0.000 0.331
3 Tb 0.343 0.500 0.194
4 Tb 0.201 0.500 0.721
5 Si 0.395 0.000 0.489
6 Ni 0.708 0.000 0.751
7 Si 0.763 0.500 0.979
8 Si 0.678 0.500 0.560

Computed properties:
- Calculated total energy: -5.78 eV per atom
- Crystal system: monoclinic

---

Tb2Si5Ni3 after structural relaxation, computed with GGA-PBE.

Cell: 7.867 7.867 5.640 Å, 110.89 110.89 90.58°
Element x y z (fractional)
1 Si 0.768 0.232 0.250
2 Si 0.260 0.046 0.153
3 Si 0.500 0.500 0.250
4 Si 0.767 0.233 0.750
5 Tb 0.605 0.868 0.236
6 Ni 0.524 0.254 0.389
7 Si 0.954 0.740 0.347
8 Ni 0.746 0.476 0.111
9 Tb 0.395 0.132 0.764
10 Si 0.233 0.767 0.250
11 Si 0.232 0.768 0.750
12 Ni 0.254 0.524 0.889
13 Si 0.740 0.954 0.847
14 Tb 0.132 0.395 0.264
15 Tb 0.868 0.605 0.736
16 Ni 0.476 0.746 0.611
17 Ni 0.000 0.000 0.750
18 Si 0.500 0.500 0.750
19 Ni 0.000 0.000 0.250
20 Si 0.046 0.260 0.653

Computed properties:
- Calculated total energy: -6.11 eV per atom
- Crystal system: monoclinic

---

Tb3Si2Ni after structural relaxation, computed with GGA-PBE.

Cell: 11.325 4.142 11.273 Å, 90.00 90.00 90.00°
Site moments in Bohr magnetons follow the coordinates.
Element x y z (fractional)
1 Si 0.025 0.750 0.314  0.00
2 Si 0.304 0.250 0.495  0.00
3 Si 0.196 0.750 0.995  0.00
4 Si 0.975 0.250 0.686  0.00
5 Ni 0.630 0.250 0.134  0.03
6 Tb 0.786 0.750 0.196  0.11
7 Si 0.525 0.750 0.186  0.00
8 Tb 0.286 0.750 0.304  0.10
9 Ni 0.370 0.750 0.866  0.03
10 Si 0.696 0.750 0.505  0.00
11 Tb 0.942 0.750 0.875  0.06
12 Tb 0.882 0.250 0.440  0.09
13 Tb 0.058 0.250 0.125  0.06
14 Tb 0.214 0.250 0.804  0.11
15 Tb 0.558 0.250 0.375  0.07
16 Tb 0.618 0.750 0.940  0.09
17 Tb 0.118 0.750 0.560  0.09
18 Si 0.475 0.250 0.814  0.00
19 Tb 0.714 0.250 0.696  0.10
20 Tb 0.382 0.250 0.060  0.09
21 Tb 0.442 0.750 0.625  0.07
22 Si 0.804 0.250 0.005  0.00
23 Ni 0.870 0.750 0.634  0.02
24 Ni 0.130 0.250 0.366  0.02

Computed properties:
- Calculated total energy: -5.78 eV per atom
- Crystal system: orthorhombic

---

TbSiNi after structural relaxation, computed with GGA-PBE.

Cell: 6.919 4.175 7.139 Å, 90.00 90.00 90.00°
Element x y z (fractional)
1 Tb 0.990 0.250 0.301
2 Si 0.189 0.750 0.089
3 Ni 0.685 0.250 0.582
4 Si 0.311 0.250 0.589
5 Si 0.689 0.750 0.411
6 Tb 0.510 0.750 0.801
7 Tb 0.010 0.750 0.699
8 Tb 0.490 0.250 0.199
9 Si 0.811 0.250 0.911
10 Ni 0.315 0.750 0.418
11 Ni 0.815 0.750 0.082
12 Ni 0.185 0.250 0.918

Computed properties:
- Calculated total energy: -6.01 eV per atom
- Crystal system: orthorhombic